(1)
## SrTaTeI2 (meta-GGA SCAN)

Data for a PBEsol-optimized structure of SrTaTeI2.

Output
Its volume is 44.0 Å³ per atom. Its size of the total moment is 3.0 μB per formula unit. The value obtained for the total energy is -196.292 eV per formula unit.

a b c (Å): 5.934 5.934 6.244
angles (deg): 90.00 90.00 90.00
Element x y z (fractional)
1 I 0.000 0.500 0.000
2 I 0.500 0.000 0.000
3 Te 0.000 0.000 0.500
4 Sr 0.000 0.000 0.000
5 Ta 0.500 0.500 0.500



(2)
## CrCdRh (meta-GGA SCAN)

Data for a PBEsol-optimized structure of CrCdRh.

Output
Its volume is 18.3 Å³ per atom. The energy of formation comes out at 0.301 eV per atom. Its size of the total moment is 3.5 μB per formula unit. Its energy relative to the lowest polymorph listed for this composition is 0.0 meV per atom.

a b c (Å): 4.267 4.267 4.267
angles (deg): 60.00 60.00 60.00
Element x y z (fractional)
1 Cd 0.000 0.000 0.000
2 Cr 0.500 0.500 0.500
3 Rh 0.750 0.750 0.750



(3)
## NbVRe (meta-GGA SCAN)

Data for a PBEsol-optimized structure of NbVRe.

Output
Its volume is 15.0 Å³ per atom. The energy of formation comes out at -0.208 eV per atom. Its size of the total moment is 0.0 μB per formula unit.

a b c (Å): 2.718 2.718 6.700
angles (deg): 97.58 97.58 110.45
Element x y z (fractional)
1 V 0.327 0.327 0.655
2 Re 0.674 0.674 0.348
3 Nb 0.999 0.999 0.997



(4)
## Be2AgRu (meta-GGA SCAN)

Data for a PBEsol-optimized structure of Be2AgRu.

Output
Its volume is 12.0 Å³ per atom. The energy of formation comes out at 0.029 eV per atom. Its size of the total moment is 0.0 μB per formula unit.

a b c (Å): 2.708 2.708 7.720
angles (deg): 79.90 79.90 60.00
Element x y z (fractional)
1 Ag 0.000 0.000 0.000
2 Be 0.756 0.756 0.732
3 Ru 0.500 0.500 0.500
4 Be 0.244 0.244 0.268



(5)
## Nd2Ga3Fe14C2 (meta-GGA SCAN)

Data for a PBEsol-optimized structure of Nd2Ga3Fe14C2.

Output
Its volume is 12.4 Å³ per atom. The energy of formation comes out at -0.100 eV per atom. Its size of the total moment is 31.1 μB per formula unit.

a b c (Å): 6.409 6.439 6.439
angles (deg): 96.50 96.25 83.75
Element x y z (fractional)
1 Fe 0.714 0.002 0.716
2 Fe 0.845 0.342 0.658
3 Nd 0.670 0.648 0.352
4 Fe 0.155 0.658 0.342
5 Fe 0.714 0.284 0.998
6 Fe 0.286 0.998 0.284
7 Fe 0.286 0.716 0.002
8 Fe 0.657 0.149 0.346
9 Fe 0.657 0.654 0.851
10 C 0.500 0.000 0.500
11 Fe 0.343 0.346 0.149
12 Fe 0.905 0.908 0.092
13 Nd 0.330 0.352 0.648
14 Fe 0.095 0.092 0.908
15 Ga 0.000 0.500 0.000
16 Ga 0.500 0.000 0.000
17 Ga 0.000 0.000 0.500
18 Fe 0.343 0.851 0.654
19 Fe 0.000 0.720 0.720
20 Fe 0.000 0.280 0.280
21 C 0.500 0.500 0.000



(6)
## TbNiGe (meta-GGA SCAN)

Data for a PBEsol-optimized structure of TbNiGe.

Output
Its volume is 17.2 Å³ per atom. The energy of formation comes out at -0.867 eV per atom. Its size of the total moment is 0.0 μB per formula unit.

a b c (Å): 4.191 6.863 7.167
angles (deg): 90.00 90.00 90.00
Element x y z (fractional)
1 Ni 0.250 0.691 0.583
2 Ge 0.750 0.693 0.411
3 Tb 0.250 0.490 0.204
4 Tb 0.750 0.010 0.704
5 Ni 0.750 0.309 0.417
6 Ge 0.750 0.193 0.089
7 Tb 0.750 0.510 0.796
8 Tb 0.250 0.990 0.296
9 Ni 0.250 0.191 0.917
10 Ge 0.250 0.307 0.589
11 Ni 0.750 0.809 0.083
12 Ge 0.250 0.807 0.911



- volume of number 2 (CrCdRh)?
  18.3 Å³ per atom



- Number 4 is which compound?
  Be2AgRu